Record 1
NaVInAg2 | PBE | optimized geometry

```
5
Lattice="5.148 0.000 0.000 0.000 5.289 0.000 0.000 0.000 5.148" Properties=species:S:1:pos:R:3 pbc="T T T"
Na 0.000 2.645 0.000
V 2.574 2.645 2.574
Ag 0.000 0.000 2.574
Ag 2.574 0.000 0.000
In 0.000 0.000 0.000
```

## Properties
Its total energy is -2.534 eV/atom.

***

Record 2
ZrSc2Co | PBE | optimized geometry

```
4
Lattice="4.188 0.000 0.000 0.000 3.327 0.011 0.000 1.749 5.699" Properties=species:S:1:pos:R:3 pbc="T T T"
Co 2.094 3.815 4.231
Sc 0.000 4.737 5.545
Sc 2.094 1.267 1.459
Zr 0.000 2.871 3.040
```

## Properties
Its total energy is -7.071 eV/atom. The energy above the most stable polymorph in this dataset is 222 meV/atom.

***

For each record above, in turn, the calculated D(E_F) values are 8.19, 5.02 states/eV per cell.